(1)
# PBE-GGA NdHoInPb, optimized geometry
# distance to the lowest polymorph of the same formula: 44 meV per atom
# energy of formation: -0.42 eV/atom
# energy: -4.367 eV/atom
data_NdHoInPb
_chemical_formula_sum 'Nd4 Ho4 In4 Pb4'
_space_group_name_H-M_alt 'F -4 3 m'
_space_group_IT_number 216
_space_group_name_Hall 'F -4 2 3'
_cell_length_a 7.718
_cell_length_b 7.718
_cell_length_c 7.718
_cell_angle_alpha 90.00
_cell_angle_beta 90.00
_cell_angle_gamma 90.00
loop_
_atom_site_label
_atom_site_type_symbol
_atom_site_fract_x
_atom_site_fract_y
_atom_site_fract_z
Nd1 Nd 0.000 0.000 0.000
Ho1 Ho 0.000 0.000 0.500
In1 In 0.250 0.250 0.750
Pb1 Pb 0.250 0.250 0.250



(2)
# PBE-GGA LiHoCuGe2, optimized geometry
# energy of formation: -0.55 eV/atom
# energy: -4.510 eV/atom
data_LiHoCuGe2
_chemical_formula_sum 'Li2 Ho2 Cu2 Ge4'
_space_group_name_H-M_alt 'I -4 m 2'
_space_group_IT_number 119
_space_group_name_Hall 'I -4 -2'
_cell_length_a 4.023
_cell_length_b 4.023
_cell_length_c 10.657
_cell_angle_alpha 90.00
_cell_angle_beta 90.00
_cell_angle_gamma 90.00
loop_
_atom_site_label
_atom_site_type_symbol
_atom_site_fract_x
_atom_site_fract_y
_atom_site_fract_z
Li1 Li 0.000 0.000 0.000
Ho1 Ho 0.000 0.500 0.750
Cu1 Cu 0.000 0.000 0.500
Ge1 Ge 0.000 0.500 0.134



(3)
# PBE-GGA ZnCuBI2, optimized geometry
# formation energy (no corrections): 0.69 eV per atom
# energy: -2.336 eV/atom
data_ZnCuBI2
_chemical_formula_sum 'Zn1 Cu1 B1 I2'
_space_group_name_H-M_alt 'P 4/m m m'
_space_group_IT_number 123
_space_group_name_Hall '-P 4 2'
_cell_length_a 5.371
_cell_length_b 5.371
_cell_length_c 3.974
_cell_angle_alpha 90.00
_cell_angle_beta 90.00
_cell_angle_gamma 90.00
loop_
_atom_site_label
_atom_site_type_symbol
_atom_site_fract_x
_atom_site_fract_y
_atom_site_fract_z
Zn1 Zn 0.000 0.000 0.000
Cu1 Cu 0.500 0.500 0.000
B1 B 0.500 0.500 0.500
I1 I 0.000 0.500 0.500